*i*
Below is a relaxed structure of RbTc2P2, with properties calculated at the GGA-PBE level.

- ρ: 6.02 g/cm³
- Magnetic moment: 0.00 μB/cell

Structure (CIF):
```
data_RbTc2P2
_symmetry_space_group_name_H-M 'I 4/m m m'
_symmetry_Int_Tables_number 139
_symmetry_space_group_name_Hall '-I 4 2'
_cell_length_a 4.604
_cell_length_b 4.604
_cell_length_c 8.940
_cell_angle_alpha 90.00
_cell_angle_beta 90.00
_cell_angle_gamma 90.00
loop_
_atom_site_label
_atom_site_type_symbol
_atom_site_fract_x
_atom_site_fract_y
_atom_site_fract_z
Rb1 Rb 0.000 0.000 0.000
Tc1 Tc 0.000 0.000 0.373
P1 P 0.000 0.500 0.250
```

=====

*ii*
Below is a relaxed structure of RbTc2P2, with properties calculated at the GGA-PBE level.

- ρ: 5.28 g/cm³
- Magnetic moment: 0.00 μB/cell

Structure (CIF):
```
data_RbTc2P2
_symmetry_space_group_name_H-M 'P 4/m m m'
_symmetry_Int_Tables_number 123
_symmetry_space_group_name_Hall '-P 4 2'
_cell_length_a 3.831
_cell_length_b 3.831
_cell_length_c 7.358
_cell_angle_alpha 90.00
_cell_angle_beta 90.00
_cell_angle_gamma 90.00
loop_
_atom_site_label
_atom_site_type_symbol
_atom_site_fract_x
_atom_site_fract_y
_atom_site_fract_z
Rb1 Rb 0.000 0.000 0.000
Tc1 Tc 0.000 0.500 0.500
P1 P 0.500 0.500 0.291
```

=====

Here are the energies relative to the best structure, in meV per atom: *i* 290; *ii* 0.

=====

*i*
Below is a relaxed structure of RbTcP2, with properties calculated at the GGA-PBE level.

- ρ: 5.57 g/cm³
- Magnetic moment: 4.16 μB/cell

Structure (CIF):
```
data_RbTcP2
_symmetry_space_group_name_H-M 'F m -3 m'
_symmetry_Int_Tables_number 225
_symmetry_space_group_name_Hall '-F 4 2 3'
_cell_length_a 6.641
_cell_length_b 6.641
_cell_length_c 6.641
_cell_angle_alpha 90.00
_cell_angle_beta 90.00
_cell_angle_gamma 90.00
loop_
_atom_site_label
_atom_site_type_symbol
_atom_site_fract_x
_atom_site_fract_y
_atom_site_fract_z
Rb1 Rb 0.000 0.000 0.000
Tc1 Tc 0.000 0.000 0.500
P1 P 0.250 0.250 0.250
```

=====

*ii*
Below is a relaxed structure of RbTcP2, with properties calculated at the GGA-PBE level.

- ρ: 3.37 g/cm³
- Magnetic moment: 0.00 μB/cell

Structure (CIF):
```
data_RbTcP2
_symmetry_space_group_name_H-M 'I 41/a m d'
_symmetry_Int_Tables_number 141
_cell_length_a 6.191
_cell_length_b 6.191
_cell_length_c 12.604
_cell_angle_alpha 90.00
_cell_angle_beta 90.00
_cell_angle_gamma 90.00
loop_
_symmetry_equiv_pos_as_xyz
'x,y,z'
'-x,-y,-z'
'-y+1/4,x+3/4,z+1/4'
'y+1/4,-x+3/4,-z+1/4'
'-x+1/2,-y,z+1/2'
'x+1/2,y,-z+1/2'
'y+1/4,-x+1/4,z+3/4'
'-y+1/4,x+1/4,-z+3/4'
'x,-y,-z'
'-x,y,z'
'-y+1/4,-x+1/4,-z+3/4'
'y+1/4,x+1/4,z+3/4'
'-x+1/2,y,-z+1/2'
'x+1/2,-y,z+1/2'
'y+1/4,x+3/4,-z+1/4'
'-y+1/4,-x+3/4,z+1/4'
'x+1/2,y+1/2,z+1/2'
'-x+1/2,-y+1/2,-z+1/2'
'-y+3/4,x+1/4,z+3/4'
'y+3/4,-x+1/4,-z+3/4'
'-x,-y+1/2,z'
'x,y+1/2,-z'
'y+3/4,-x+3/4,z+1/4'
'-y+3/4,x+3/4,-z+1/4'
'x+1/2,-y+1/2,-z+1/2'
'-x+1/2,y+1/2,z+1/2'
'-y+3/4,-x+3/4,-z+1/4'
'y+3/4,x+3/4,z+1/4'
'-x,y+1/2,-z'
'x,-y+1/2,z'
'y+3/4,x+1/4,-z+3/4'
'-y+3/4,-x+1/4,z+3/4'
loop_
_atom_site_label
_atom_site_type_symbol
_atom_site_fract_x
_atom_site_fract_y
_atom_site_fract_z
Rb1 Rb 0.000 0.250 0.375
Tc1 Tc 0.000 0.250 0.875
P1 P 0.000 0.000 0.000
```

=====

Here are the energies relative to the best structure, in meV per atom: *i* 1152; *ii* 0.

=====

*i*
Below is a relaxed structure of RbTeP3, with properties calculated at the GGA-PBE level.

- ρ: 3.27 g/cm³
- Magnetic moment: 0.00 μB/cell

Structure (CIF):
```
data_RbTeP3
_symmetry_space_group_name_H-M 'P m -3 m'
_symmetry_Int_Tables_number 221
_symmetry_space_group_name_Hall '-P 4 2 3'
_cell_length_a 5.377
_cell_length_b 5.377
_cell_length_c 5.377
_cell_angle_alpha 90.00
_cell_angle_beta 90.00
_cell_angle_gamma 90.00
loop_
_atom_site_label
_atom_site_type_symbol
_atom_site_fract_x
_atom_site_fract_y
_atom_site_fract_z
Rb1 Rb 0.000 0.000 0.000
Te1 Te 0.500 0.500 0.500
P1 P 0.000 0.000 0.500
```

=====

*ii*
Below is a relaxed structure of RbTeP3, with properties calculated at the GGA-PBE level.

- ρ: 3.47 g/cm³
- Magnetic moment: 1.44 μB/cell

Structure (CIF):
```
data_RbTeP3
_symmetry_space_group_name_H-M 'P m -3 m'
_symmetry_Int_Tables_number 221
_symmetry_space_group_name_Hall '-P 4 2 3'
_cell_length_a 5.270
_cell_length_b 5.270
_cell_length_c 5.270
_cell_angle_alpha 90.00
_cell_angle_beta 90.00
_cell_angle_gamma 90.00
loop_
_atom_site_label
_atom_site_type_symbol
_atom_site_fract_x
_atom_site_fract_y
_atom_site_fract_z
Rb1 Rb 0.000 0.000 0.000
Te1 Te 0.500 0.500 0.500
P1 P 0.000 0.500 0.500
```

=====

Here are the energies relative to the best structure, in meV per atom: *i* 1366; *ii* 0.

=====

*i*
Below is a relaxed structure of RbTi2P2, with properties calculated at the GGA-PBE level.

- ρ: 4.01 g/cm³
- Magnetic moment: 0.00 μB/cell

Structure (CIF):
```
data_RbTi2P2
_symmetry_space_group_name_H-M 'P 4/m b m'
_symmetry_Int_Tables_number 127
_symmetry_space_group_name_Hall '-P 4 2ab'
_cell_length_a 7.923
_cell_length_b 7.923
_cell_length_c 3.209
_cell_angle_alpha 90.00
_cell_angle_beta 90.00
_cell_angle_gamma 90.00
loop_
_atom_site_label
_atom_site_type_symbol
_atom_site_fract_x
_atom_site_fract_y
_atom_site_fract_z
Rb1 Rb 0.000 0.000 0.000
Ti1 Ti 0.119 0.381 0.500
P1 P 0.135 0.635 0.000
```

=====

*ii*
Below is a relaxed structure of RbTi2P2, with properties calculated at the GGA-PBE level.

- ρ: 3.22 g/cm³
- Magnetic moment: 0.00 μB/cell

Structure (CIF):
```
data_RbTi2P2
_symmetry_space_group_name_H-M 'I 4/m m m'
_symmetry_Int_Tables_number 139
_symmetry_space_group_name_Hall '-I 4 2'
_cell_length_a 4.229
_cell_length_b 4.229
_cell_length_c 14.036
_cell_angle_alpha 90.00
_cell_angle_beta 90.00
_cell_angle_gamma 90.00
loop_
_atom_site_label
_atom_site_type_symbol
_atom_site_fract_x
_atom_site_fract_y
_atom_site_fract_z
Rb1 Rb 0.000 0.000 0.000
Ti1 Ti 0.000 0.500 0.250
P1 P 0.000 0.000 0.338
```

=====

Here are the energies relative to the best structure, in meV per atom: *i* 561; *ii* 0.

=====

*i*
Below is a relaxed structure of RbTiP2, with properties calculated at the GGA-PBE level.

- ρ: 2.55 g/cm³
- Magnetic moment: 0.00 μB/cell

Structure (CIF):
```
data_RbTiP2
_symmetry_space_group_name_H-M 'I -4 2 d'
_symmetry_Int_Tables_number 122
_symmetry_space_group_name_Hall 'I -4 2bw'
_cell_length_a 5.964
_cell_length_b 5.964
_cell_length_c 14.327
_cell_angle_alpha 90.00
_cell_angle_beta 90.00
_cell_angle_gamma 90.00
loop_
_atom_site_label
_atom_site_type_symbol
_atom_site_fract_x
_atom_site_fract_y
_atom_site_fract_z
Rb1 Rb 0.000 0.000 0.000
Ti1 Ti 0.000 0.000 0.500
P1 P 0.001 0.250 0.625
```

=====

*ii*
Below is a relaxed structure of RbTiP2, with properties calculated at the GGA-PBE level.

- ρ: 4.00 g/cm³
- Magnetic moment: 0.00 μB/cell

Structure (CIF):
```
data_RbTiP2
_symmetry_space_group_name_H-M 'F m -3 m'
_symmetry_Int_Tables_number 225
_symmetry_space_group_name_Hall '-F 4 2 3'
_cell_length_a 6.872
_cell_length_b 6.872
_cell_length_c 6.872
_cell_angle_alpha 90.00
_cell_angle_beta 90.00
_cell_angle_gamma 90.00
loop_
_atom_site_label
_atom_site_type_symbol
_atom_site_fract_x
_atom_site_fract_y
_atom_site_fract_z
Rb1 Rb 0.000 0.000 0.000
Ti1 Ti 0.000 0.000 0.500
P1 P 0.250 0.250 0.250
```

=====

Here are the energies relative to the best structure, in meV per atom: *i* 0; *ii* 804.

=====

*i*
Below is a relaxed structure of RbTlP2, with properties calculated at the GGA-PBE level.

- ρ: 4.51 g/cm³
- Magnetic moment: 0.00 μB/cell

Structure (CIF):
```
data_RbTlP2
_symmetry_space_group_name_H-M 'I 41/a m d'
_symmetry_Int_Tables_number 141
_cell_length_a 5.228
_cell_length_b 5.228
_cell_length_c 18.936
_cell_angle_alpha 90.00
_cell_angle_beta 90.00
_cell_angle_gamma 90.00
loop_
_symmetry_equiv_pos_as_xyz
'x,y,z'
'-x,-y,-z'
'-y+1/4,x+3/4,z+1/4'
'y+1/4,-x+3/4,-z+1/4'
'-x+1/2,-y,z+1/2'
'x+1/2,y,-z+1/2'
'y+1/4,-x+1/4,z+3/4'
'-y+1/4,x+1/4,-z+3/4'
'x,-y,-z'
'-x,y,z'
'-y+1/4,-x+1/4,-z+3/4'
'y+1/4,x+1/4,z+3/4'
'-x+1/2,y,-z+1/2'
'x+1/2,-y,z+1/2'
'y+1/4,x+3/4,-z+1/4'
'-y+1/4,-x+3/4,z+1/4'
'x+1/2,y+1/2,z+1/2'
'-x+1/2,-y+1/2,-z+1/2'
'-y+3/4,x+1/4,z+3/4'
'y+3/4,-x+1/4,-z+3/4'
'-x,-y+1/2,z'
'x,y+1/2,-z'
'y+3/4,-x+3/4,z+1/4'
'-y+3/4,x+3/4,-z+1/4'
'x+1/2,-y+1/2,-z+1/2'
'-x+1/2,y+1/2,z+1/2'
'-y+3/4,-x+3/4,-z+1/4'
'y+3/4,x+3/4,z+1/4'
'-x,y+1/2,-z'
'x,-y+1/2,z'
'y+3/4,x+1/4,-z+3/4'
'-y+3/4,-x+1/4,z+3/4'
loop_
_atom_site_label
_atom_site_type_symbol
_atom_site_fract_x
_atom_site_fract_y
_atom_site_fract_z
Rb1 Rb 0.000 0.250 0.375
Tl1 Tl 0.000 0.250 0.875
P1 P 0.000 0.000 0.000
```

=====

*ii*
Below is a relaxed structure of RbTlP2, with properties calculated at the GGA-PBE level.

- ρ: 5.69 g/cm³
- Magnetic moment: 0.00 μB/cell

Structure (CIF):
```
data_RbTlP2
_symmetry_space_group_name_H-M 'F m -3 m'
_symmetry_Int_Tables_number 225
_symmetry_space_group_name_Hall '-F 4 2 3'
_cell_length_a 7.433
_cell_length_b 7.433
_cell_length_c 7.433
_cell_angle_alpha 90.00
_cell_angle_beta 90.00
_cell_angle_gamma 90.00
loop_
_atom_site_label
_atom_site_type_symbol
_atom_site_fract_x
_atom_site_fract_y
_atom_site_fract_z
Rb1 Rb 0.000 0.000 0.000
Tl1 Tl 0.000 0.000 0.500
P1 P 0.250 0.250 0.250
```

=====

Here are the energies relative to the best structure, in meV per atom: *i* 0; *ii* 419.